Here is a relaxed NdHoLu2 crystal from Alexandria via LeMat-Bulk. Energies are from PBE.

Results
Polymorph energy (0 for the lowest one), eV per atom: 0.000
Total moment, μB/cell: 0.0
ΔE_f, meV/atom: 30

Cell and atoms, written as CIF:
```
data_NdHoLu2
_cell_length_a 3.5374
_cell_length_b 3.5374
_cell_length_c 34.3113
_cell_angle_alpha 90.00
_cell_angle_beta 90.00
_cell_angle_gamma 120.00
_space_group_name_H-M_alt 'R -3 m'
_space_group_IT_number 166
_space_group_name_Hall '-R 3 2"'
loop_
_atom_site_label
_atom_site_fract_x
_atom_site_fract_y
_atom_site_fract_z
Nd1 0.0000 0.0000 0.0000
Ho1 0.0000 0.0000 0.5000
Lu1 0.0000 0.0000 0.2487
```